Record 1
ZrPaTi PBE-GGA relaxed; total magnetic moment = 0.00 μB per formula unit; distance to the lowest polymorph of the same formula = 401.9 meV per atom; E = -97.48 eV for the cell shown
1.0
7.3354 0.0000 0.0000
3.6677 6.3526 0.0000
3.6677 2.1175 5.9893
Zr Ti Pa
4 4 4
Direct
0.4220 0.8593 0.8593
0.8593 0.8593 0.4220
0.8593 0.4220 0.8593
0.8593 0.8593 0.8593
0.2285 0.5905 0.5905
0.5905 0.5905 0.5905
0.5905 0.2285 0.5905
0.5905 0.5905 0.2285
0.1518 0.1518 0.5446
0.1518 0.1518 0.1518
0.5446 0.1518 0.1518
0.1518 0.5446 0.1518

Record 2
BaZr5N7 PBE-GGA relaxed; formation energy (no corrections) = -33.19 kcal/mol of atoms; total magnetic moment = 0.00 μB per formula unit; E = -243.30 eV for the cell shown
1.0
3.2767 -0.0007 0.0000
-1.6396 5.4818 0.0066
0.0000 -0.0243 20.2027
N Zr Ba
14 10 2
Direct
0.1598 0.3184 0.1590
0.9048 0.8090 0.3989
0.8407 0.6827 0.8410
0.0957 0.1921 0.8989
0.6354 0.2704 0.4686
0.6354 0.2704 0.0314
0.5250 0.0500 0.7500
0.8408 0.6828 0.6590
0.4755 0.9511 0.2500
0.1598 0.3184 0.3410
0.0958 0.1922 0.6011
0.3652 0.7308 0.9686
0.3652 0.7308 0.5313
0.9048 0.8090 0.1011
0.7379 0.4766 0.5743
0.4727 0.9455 0.6521
0.0003 0.0006 0.5000
0.4727 0.9454 0.8479
0.7379 0.4765 0.9257
0.2627 0.5246 0.0743
0.2627 0.5245 0.4257
0.0003 0.0006 0.0000
0.5279 0.0556 0.3479
0.5279 0.0557 0.1521
0.2194 0.4386 0.7500
0.7812 0.5626 0.2500

Record 3
SnHCO2 PBE-GGA relaxed; total magnetic moment = 0.45 μB per formula unit; E = -21.88 eV for the cell shown
1.0
3.2836 0.0000 0.0000
0.0000 4.9097 0.0000
0.0000 0.0000 3.2836
O Sn C H
2 1 1 1
Direct
0.5000 0.0000 0.0000
0.0000 0.0000 0.5000
0.0000 0.5000 0.0000
0.0000 0.0000 0.0000
0.5000 0.5000 0.5000

Record 4
La2PmBi PBE-GGA relaxed; total magnetic moment = 0.27 μB per formula unit; distance to the lowest polymorph of the same formula = 223.7 meV per atom; E = -19.54 eV for the cell shown
1.0
4.2147 0.0002 -0.0013
2.1075 3.6499 -0.0013
2.1043 1.2149 9.9156
Pm Bi La
1 1 2
Direct
0.5002 0.5002 0.5001
0.6666 0.6666 0.9998
0.2619 0.2619 0.2146
0.0714 0.0714 0.7855

Record 5
Rb2BrN PBE-GGA relaxed; formation energy (no corrections) = -0.31 kcal/mol of atoms; total magnetic moment = 2.00 μB per formula unit; distance to the lowest polymorph of the same formula = 68.5 meV per atom; E = -11.99 eV for the cell shown
1.0
0.0116 -4.4288 3.5265
-0.7891 0.7980 5.5489
-4.8204 -1.6844 2.4447
Rb N Br
2 1 1
Direct
0.2500 0.2500 0.2500
0.7500 0.7500 0.7500
0.0000 0.0000 0.0000
0.5000 0.5000 0.5000

Record 6
SrRe2Ir PBE-GGA relaxed; total magnetic moment = 0.00 μB per formula unit; distance to the lowest polymorph of the same formula = 638.5 meV per atom; E = -62.22 eV for the cell shown
1.0
7.8039 0.0000 0.0000
0.0000 7.8039 0.0000
3.9020 3.9020 2.7263
Re Ir Sr
4 2 2
Direct
0.3750 0.3111 0.7500
0.8750 0.9389 0.7500
0.0611 0.6250 0.2500
0.6889 0.1250 0.2500
0.0000 0.0000 0.0000
0.7500 0.2500 0.5000
0.5000 0.5000 0.0000
0.2500 0.7500 0.5000